Density functional theory data (PBE-GGA) for AgPb3Br after structural relaxation.

Summary:
mass density	7.20	g cm⁻³
energy	-12.70	eV/cell
V	37.31	A^3/atom
space-group type	No. 221

a b c (Å): 5.714 5.714 5.714
angles (deg): 90.00 90.00 90.00
Sites, in units of the cell vectors:
Pb1 0.000 0.500 0.000
Pb2 0.000 0.000 0.500
Pb3 0.500 0.000 0.000
Br1 0.000 0.000 0.000
Ag1 0.500 0.500 0.500